No. 1
! SmNpCd2O6, relaxed, DFT GGA-PBE; values from VASP
! SG ... No. 146
! Formation energy from raw total energies ... -2.282 eV/atom
&SYSTEM
  ibrav = 0, nat = 10, ntyp = 4
/
ATOMIC_SPECIES
O 16.00 O.upf
Cd 112.41 Cd.upf
Np 237.00 Np.upf
Sm 150.36 Sm.upf
ATOMIC_POSITIONS angstrom
O 4.1354 3.4280 4.0079
O 6.5816 1.8672 4.0084
O 6.7102 4.7663 4.0083
O 7.9582 3.3749 1.3368
O 4.7159 5.2042 1.3363
O 4.7529 1.4817 1.3363
Cd 5.8088 3.3537 2.0249
Cd 2.9045 1.6772 4.7231
Np 2.9045 1.6769 0.2173
Sm 8.7134 5.0306 2.8999
CELL_PARAMETERS angstrom
5.8089 0.0001 0.0004
2.9046 5.0304 0.0001
2.9045 1.6769 5.1637

=====

No. 2
! NpCdSnO6, relaxed, DFT GGA-PBE; values from VASP
! SG ... No. 163
! Formation energy from raw total energies ... -1.915 eV/atom
&SYSTEM
  ibrav = 0, nat = 18, ntyp = 4
/
ATOMIC_SPECIES
O 16.00 O.upf
Np 237.00 Np.upf
Cd 112.41 Cd.upf
Sn 118.71 Sn.upf
ATOMIC_POSITIONS angstrom
O -1.5426 -3.4472 0.4066
O -6.1944 -3.0846 1.8644
O -1.8414 -0.8569 -1.2139
O -7.8907 -3.9125 4.1282
O -3.5377 -1.6848 1.0499
O -5.5065 -0.5480 3.4510
O -5.3058 -3.3008 4.7950
O -4.2256 -4.2214 -0.5367
O -4.4263 -1.4686 -1.8807
O -7.2755 -1.2040 5.4361
O -8.1895 -1.3222 2.5077
O -2.4566 -3.5654 -2.5218
Np -3.0051 -2.5407 -0.7828
Np -6.7271 -2.2287 3.6971
Cd 0.0000 0.0000 0.0000
Cd -4.6576 0.3629 1.4390
Sn -7.6626 -2.1778 0.6563
Sn -2.0695 -2.5916 2.2581
CELL_PARAMETERS angstrom
-1.6118 -2.6713 -4.5431
1.1948 -2.8240 4.5794
-9.3151 0.7259 2.8780

=====

No. 3
! NpCd2SnO8, relaxed, DFT GGA-PBE; values from VASP
! SG ... No. 65
! Formation energy from raw total energies ... -1.555 eV/atom
&SYSTEM
  ibrav = 0, nat = 12, ntyp = 4
/
ATOMIC_SPECIES
Cd 112.41 Cd.upf
O 16.00 O.upf
Sn 118.71 Sn.upf
Np 237.00 Np.upf
ATOMIC_POSITIONS angstrom
Cd 2.4588 2.4527 1.7083
Cd 2.4606 2.4564 4.9880
O 1.4128 1.4090 3.3500
O 0.7759 4.1359 1.5807
O 0.7779 4.1397 5.1138
O 4.1435 0.7732 5.1156
O 3.5093 3.5013 -0.0058
O 4.1415 0.7693 1.5825
O 1.4101 1.4078 6.7022
O 3.5066 3.5001 3.3463
Sn 0.0019 0.0037 3.3523
Np 0.0000 0.0000 0.0000
CELL_PARAMETERS angstrom
5.0626 -0.1583 -0.0027
-0.1470 5.0599 -0.0056
0.0038 0.0074 6.7046

=====

No. 4
! SrNpCdO6, relaxed, DFT GGA-PBE; values from VASP
! SG ... No. 163
! Formation energy from raw total energies ... -2.104 eV/atom
&SYSTEM
  ibrav = 0, nat = 18, ntyp = 4
/
ATOMIC_SPECIES
Cd 112.41 Cd.upf
O 16.00 O.upf
Np 237.00 Np.upf
Sr 87.62 Sr.upf
ATOMIC_POSITIONS angstrom
Cd -7.8936 -3.3581 1.3185
Cd -1.7196 -3.8523 0.2892
O -1.9549 -2.9053 -1.7966
O -6.0615 -4.7418 1.1412
O -3.5796 -1.1312 -3.3298
O -4.4587 -6.6065 2.5873
O -4.8060 -3.2556 -1.9717
O -4.8072 -3.9547 3.5794
O -3.5516 -2.4686 0.4665
O -7.2363 -6.9821 2.5134
O -5.1545 -0.6038 -0.9796
O -2.3769 -0.2283 -0.9057
O -6.0336 -6.0792 4.9375
O -7.6582 -4.3051 3.4043
Np -3.5706 -1.7655 -1.4195
Np -6.0426 -5.4449 3.0272
Sr 0.0000 0.0000 0.0000
Sr -4.3230 -1.5926 2.7380
CELL_PARAMETERS angstrom
-3.2601 1.1177 -4.4971
2.2929 -5.1429 0.6288
-8.6460 -3.1852 5.4761

=====

No. 5
! SrNpCd2O6, relaxed, DFT GGA-PBE; values from VASP
! SG ... No. 146
! Formation energy from raw total energies ... -2.145 eV/atom
&SYSTEM
  ibrav = 0, nat = 10, ntyp = 4
/
ATOMIC_SPECIES
Cd 112.41 Cd.upf
O 16.00 O.upf
Np 237.00 Np.upf
Sr 87.62 Sr.upf
ATOMIC_POSITIONS angstrom
Cd -5.0329 -4.0728 -2.8320
Cd -1.2608 -5.6606 -1.2584
O -5.1865 -6.3166 -4.1055
O -7.2791 -3.9913 -2.6209
O -5.0889 -6.1603 -1.3102
O -2.8474 -5.4488 -2.8317
O -4.1296 -2.8354 -1.1742
O -4.4806 -3.1154 -4.8004
Np -2.7986 -1.2231 -1.4517
Sr -7.5949 -5.9793 -4.2540
CELL_PARAMETERS angstrom
-5.5159 -1.8933 0.4455
-3.0553 -1.2698 -4.8227
-1.1453 -5.9935 -1.2431

=====

No. 6
! NpTaCd2O8, relaxed, DFT GGA-PBE; values from VASP
! SG ... No. 65
! Formation energy from raw total energies ... -2.090 eV/atom
&SYSTEM
  ibrav = 0, nat = 12, ntyp = 4
/
ATOMIC_SPECIES
Np 237.00 Np.upf
Cd 112.41 Cd.upf
Ta 180.95 Ta.upf
O 16.00 O.upf
ATOMIC_POSITIONS angstrom
Np 0.0000 0.0000 0.0000
Cd 4.4530 -3.5948 1.7777
Cd 2.6311 -2.8171 -0.6443
Ta 1.9206 -0.8199 2.5529
O 6.1894 -5.0915 2.2305
O 2.8140 -2.1376 1.4574
O 4.2701 -4.2744 -0.3240
O 4.2140 -1.1302 -1.3724
O 0.9768 -4.4735 -0.0107
O 6.1073 -1.9384 1.1441
O 0.8947 -1.3204 -1.0971
O 2.8702 -5.2818 2.5058
CELL_PARAMETERS angstrom
-0.8446 -4.9295 -0.9476
4.0876 0.1572 -3.0247
3.8412 -1.6397 5.1058

=====

No. 7
! NpTaCdO6, relaxed, DFT GGA-PBE; values from VASP
! SG ... No. 163
! Formation energy from raw total energies ... -2.435 eV/atom
&SYSTEM
  ibrav = 0, nat = 18, ntyp = 4
/
ATOMIC_SPECIES
O 16.00 O.upf
Np 237.00 Np.upf
Cd 112.41 Cd.upf
Ta 180.95 Ta.upf
ATOMIC_POSITIONS angstrom
O 2.8754 -2.7552 2.9791
O 1.0607 -3.2224 4.8312
O -2.2154 -0.0218 8.1421
O -3.5185 -2.6630 8.4089
O -3.2340 0.1090 5.5123
O -5.0487 -0.3581 7.3645
O 1.3452 -0.4503 1.9346
O 0.0422 -3.0915 2.2014
O -0.7048 -1.1045 3.7622
O 2.1004 -0.4791 4.4587
O -4.2737 -2.6342 5.8849
O -1.4685 -2.0088 6.5814
Np -1.9473 -2.3736 2.5593
Np -0.2260 -0.7397 7.7842
Cd -1.3458 1.1108 4.4230
Cd 0.0000 0.0000 0.0000
Ta 1.1198 -1.8505 3.3612
Ta -3.2931 -1.2628 6.9823
CELL_PARAMETERS angstrom
-4.3415 -3.4521 -0.4541
4.8599 -1.8828 1.9516
-2.6917 2.2215 8.8460

=====

No. 8
! TbNpCd2O8, relaxed, DFT GGA-PBE; values from VASP
! SG ... No. 2
! Formation energy from raw total energies ... -1.929 eV/atom
&SYSTEM
  ibrav = 0, nat = 12, ntyp = 4
/
ATOMIC_SPECIES
Cd 112.41 Cd.upf
O 16.00 O.upf
Np 237.00 Np.upf
Tb 158.93 Tb.upf
ATOMIC_POSITIONS angstrom
Cd 1.5890 1.7061 3.2328
Cd 1.8147 5.2794 3.1166
O 3.2511 1.4845 1.8081
O 0.2355 3.5569 2.2544
O 2.3994 -0.0003 4.7179
O 0.1526 5.5011 4.5413
O 1.0043 6.9859 1.6315
O 3.1682 3.4287 4.0950
O 3.4833 5.1931 1.6855
O -0.0796 1.7924 4.6638
Np 0.0000 0.0000 0.0000
Tb 0.2191 3.4813 -0.1132
CELL_PARAMETERS angstrom
-1.4377 0.2552 5.0599
4.4031 -0.2322 1.5159
0.4382 6.9626 -0.2265

=====

No. 9
! TbNpCdO6, relaxed, DFT GGA-PBE; values from VASP
! SG ... No. 102
! Formation energy from raw total energies ... -2.508 eV/atom
&SYSTEM
  ibrav = 0, nat = 18, ntyp = 4
/
ATOMIC_SPECIES
Tb 158.93 Tb.upf
O 16.00 O.upf
Cd 112.41 Cd.upf
Np 237.00 Np.upf
ATOMIC_POSITIONS angstrom
Tb 2.5599 2.5599 1.7341
Tb 0.0000 0.0000 6.8756
O 0.9662 4.1535 1.9108
O 0.9260 4.1938 4.9793
O 1.1245 3.9953 8.5349
O 3.4859 3.4859 10.1207
O 3.5261 3.5261 7.0523
O 3.9953 1.1245 8.5349
O 1.5936 1.5936 7.0523
O 4.1938 0.9260 4.9793
O 4.1535 0.9662 1.9108
O 3.6844 3.6844 3.3934
O 1.4354 1.4354 3.3934
O 1.6339 1.6339 10.1207
Cd 0.0000 0.0000 10.2672
Cd 2.5599 2.5599 5.1257
Np 0.0000 0.0000 3.4222
Np 2.5599 2.5599 8.5637
CELL_PARAMETERS angstrom
5.1198 0.0000 0.0000
0.0000 5.1198 0.0000
0.0000 0.0000 10.2830

=====

No. 10
! TbNpCd2O6, relaxed, DFT GGA-PBE; values from VASP
! SG ... No. 14
! Formation energy from raw total energies ... -2.306 eV/atom
&SYSTEM
  ibrav = 0, nat = 20, ntyp = 4
/
ATOMIC_SPECIES
O 16.00 O.upf
Cd 112.41 Cd.upf
Tb 158.93 Tb.upf
Np 237.00 Np.upf
ATOMIC_POSITIONS angstrom
O 2.1753 5.4081 6.3041
O 1.7938 3.9359 0.5129
O 1.0673 1.0023 3.7038
O 4.6550 4.8650 4.7296
O 4.7710 4.7503 7.8662
O 3.5470 0.4591 2.1293
O 0.6563 2.4745 6.4018
O 1.9098 4.0506 3.6495
O 3.9285 1.9313 7.9205
O 3.8125 1.8167 4.7839
O 5.0660 3.3927 2.0316
O 0.9514 1.1170 0.5672
Cd -0.0140 0.2347 6.3687
Cd 5.7363 5.6325 2.0647
Cd 2.8767 2.6989 2.0962
Cd 2.8456 3.1683 6.3372
Tb 2.8759 0.0000 -0.0279
Tb -0.0148 2.9336 4.2446
Np 2.8612 0.0000 4.2167
Np 0.0000 2.9336 0.0000
CELL_PARAMETERS angstrom
5.7519 0.0000 -0.0557
0.0000 5.8672 0.0000
-0.0295 0.0000 8.4891

=====

No. 11
! NpCdTcO6, relaxed, DFT GGA-PBE; values from VASP
! SG ... No. 102
! Formation energy from raw total energies ... -1.891 eV/atom
&SYSTEM
  ibrav = 0, nat = 18, ntyp = 4
/
ATOMIC_SPECIES
O 16.00 O.upf
Cd 112.41 Cd.upf
Np 237.00 Np.upf
Tc 98.00 Tc.upf
ATOMIC_POSITIONS angstrom
O 3.4764 3.4764 3.0775
O 4.0751 0.8888 4.9566
O 3.8976 1.0664 1.7681
O 0.8888 4.0751 4.9566
O 3.5483 3.5483 6.6677
O 1.5931 1.5931 0.0570
O 0.9945 3.9695 7.9771
O 1.4875 1.4875 3.0775
O 3.9695 0.9945 7.9771
O 1.4156 1.4156 6.6677
O 1.0664 3.8976 1.7681
O 3.3708 3.3708 0.0570
Cd 0.0000 0.0000 0.0094
Cd 2.4820 2.4820 4.9091
Np 0.0000 0.0000 3.2479
Np 2.4820 2.4820 8.1475
Tc 0.0000 0.0000 6.5362
Tc 2.4820 2.4820 1.6366
CELL_PARAMETERS angstrom
4.9639 0.0000 0.0000
0.0000 4.9639 0.0000
0.0000 0.0000 9.7993

=====

No. 12
! NpCdTeO6, relaxed, DFT GGA-PBE; values from VASP
! SG ... No. 163
! Formation energy from raw total energies ... -1.729 eV/atom
&SYSTEM
  ibrav = 0, nat = 18, ntyp = 4
/
ATOMIC_SPECIES
O 16.00 O.upf
Np 237.00 Np.upf
Te 127.60 Te.upf
Cd 112.41 Cd.upf
ATOMIC_POSITIONS angstrom
O -3.2341 2.2436 -4.5724
O -5.1723 -2.9690 -5.0474
O -5.6238 0.0062 -4.2983
O -1.3801 3.7158 -3.2256
O -1.4256 1.7382 -0.8373
O -5.6244 -2.1670 -2.0861
O -0.9527 0.6835 -3.7149
O -7.9058 -0.6069 -2.9436
O -7.4329 -1.6616 -5.8212
O -7.4784 -3.6392 -3.4330
O -3.6862 3.0456 -1.6112
O -3.2347 0.0704 -2.3602
Np -6.5396 -1.8396 -3.9383
Np -2.3189 1.9162 -2.7203
Te -1.8528 -1.2696 -3.3770
Te -7.0057 1.3462 -3.2815
Cd -4.6868 -0.5700 -0.5612
Cd 0.0000 0.0000 0.0000
CELL_PARAMETERS angstrom
-0.4416 5.3869 -1.7829
0.9566 -4.1704 -3.7531
-9.3735 -1.1399 -1.1225

=====

No. 13
! NpCdTe2O8, relaxed, DFT GGA-PBE; values from VASP
! SG ... No. 12
! Formation energy from raw total energies ... -1.619 eV/atom
&SYSTEM
  ibrav = 0, nat = 12, ntyp = 4
/
ATOMIC_SPECIES
O 16.00 O.upf
Te 127.60 Te.upf
Np 237.00 Np.upf
Cd 112.41 Cd.upf
ATOMIC_POSITIONS angstrom
O -0.0122 -4.8799 7.3877
O -1.3137 -4.0896 9.6442
O -1.6055 -1.7529 7.0155
O 1.7411 -3.3221 9.4954
O -0.0280 -1.7142 11.5757
O 1.4493 -0.9854 6.8668
O 0.1636 -3.3608 4.9352
O 0.1478 -0.1951 9.1232
Te 0.3328 -4.3303 12.7000
Te -0.1972 -0.7447 3.8109
Np 0.0000 0.0000 0.0000
Cd 0.0678 -2.5375 8.2555
CELL_PARAMETERS angstrom
-2.9042 1.7634 5.0350
-0.4695 -5.0414 5.1587
3.5092 -1.7970 6.3173

=====

No. 14
! ThNpCdO6, relaxed, DFT GGA-PBE; values from VASP
! SG ... No. 163
! Formation energy from raw total energies ... -2.704 eV/atom
&SYSTEM
  ibrav = 0, nat = 18, ntyp = 4
/
ATOMIC_SPECIES
O 16.00 O.upf
Th 232.04 Th.upf
Cd 112.41 Cd.upf
Np 237.00 Np.upf
ATOMIC_POSITIONS angstrom
O -3.5990 4.6708 -1.4505
O -2.6056 2.5945 -3.3612
O -1.7319 8.0752 4.8106
O -0.9273 8.7263 2.0243
O -2.9404 6.7413 1.0465
O -1.3970 3.9284 0.4028
O -3.5457 6.0565 3.8749
O -0.7384 5.9989 2.8999
O -3.4101 1.9434 -0.5749
O -0.5456 1.8288 -1.3600
O -3.7918 8.8409 2.8094
O -0.7917 4.6132 -2.4255
Th 0.5509 4.8748 1.2981
Th 0.0000 0.0000 0.0000
Cd -2.8302 2.5317 1.6128
Cd -1.5073 8.1380 -0.1634
Np -2.2793 7.4065 2.9109
Np -2.0582 3.2632 -1.4616
CELL_PARAMETERS angstrom
-1.5617 1.5572 -5.1850
-3.8776 -0.6371 4.0381
1.1018 9.7496 2.5963

=====

No. 15
! NpTiCdO6, relaxed, DFT GGA-PBE; values from VASP
! SG ... No. 163
! Formation energy from raw total energies ... -2.462 eV/atom
&SYSTEM
  ibrav = 0, nat = 18, ntyp = 4
/
ATOMIC_SPECIES
Ti 47.87 Ti.upf
O 16.00 O.upf
Cd 112.41 Cd.upf
Np 237.00 Np.upf
ATOMIC_POSITIONS angstrom
Ti -2.6637 -0.8234 -2.7806
Ti -6.4911 -4.3659 -0.4332
O -1.2430 -2.2078 -2.7009
O -4.0602 0.5814 -2.6465
O -3.3118 -1.8315 -1.1978
O -5.8430 -3.3578 -2.0160
O -1.9843 -0.0071 -4.4580
O -5.4748 -3.2674 0.8714
O -5.0945 -5.7707 -0.5673
O -7.9118 -2.9814 -0.5129
O -1.7028 0.4468 -1.5952
O -7.1704 -5.1822 1.2442
O -3.6800 -1.9219 -4.0852
O -7.4520 -5.6360 -1.6186
Cd 0.0000 0.0000 0.0000
Cd -4.6286 -1.0614 0.6234
Np -1.8625 -3.3045 -1.0566
Np -7.2923 -1.8848 -2.1572
CELL_PARAMETERS angstrom
-1.1506 2.1885 -4.8164
1.2530 -5.2549 0.3558
-9.2572 -2.1228 1.2468

=====

No. 16
! Np3Tl2CdO12, relaxed, DFT GGA-PBE; values from VASP
! SG ... No. 166
! Formation energy from raw total energies ... -2.143 eV/atom
&SYSTEM
  ibrav = 0, nat = 18, ntyp = 4
/
ATOMIC_SPECIES
O 16.00 O.upf
Np 237.00 Np.upf
Tl 204.38 Tl.upf
Cd 112.41 Cd.upf
ATOMIC_POSITIONS angstrom
O 9.4955 2.6047 1.8475
O 11.8380 4.2133 5.8253
O 3.2672 1.9018 4.1858
O 8.1509 1.8220 4.3889
O 6.9543 6.9704 1.8475
O 8.1509 4.7445 0.2687
O 6.9543 4.0480 5.9677
O 5.6097 6.1878 4.3889
O 9.5099 8.2129 5.8253
O 3.2672 4.5791 0.4111
O 5.5953 0.5796 0.4111
O 11.8380 6.8907 2.0506
Np 3.8646 -0.0742 -0.0526
Np 1.8440 3.3971 -0.0526
Np 1.8440 1.0734 3.2235
Tl 10.0001 5.8209 4.1287
Tl 5.1050 2.9715 2.1077
Cd 0.0000 0.0000 0.0000
CELL_PARAMETERS angstrom
7.7291 -0.1484 -0.1053
3.6880 6.7941 -0.1053
3.6880 2.1467 6.4469

=====

No. 17
! Np2Tl3CdO9, relaxed, DFT GGA-PBE; values from VASP
! SG ... No. 164
! Formation energy from raw total energies ... -1.870 eV/atom
&SYSTEM
  ibrav = 0, nat = 15, ntyp = 4
/
ATOMIC_SPECIES
Np 237.00 Np.upf
O 16.00 O.upf
Tl 204.38 Tl.upf
Cd 112.41 Cd.upf
ATOMIC_POSITIONS angstrom
Np 3.0626 1.7682 6.3065
Np 0.0000 3.5364 1.2275
O 1.5313 2.6523 0.0000
O 1.4157 4.3537 2.3624
O 3.0626 0.0000 0.0000
O 1.6469 0.9508 5.1716
O -1.4157 4.3537 2.3624
O 4.4783 0.9508 5.1716
O 0.0000 1.9016 2.3624
O 3.0626 3.4029 5.1716
O -1.5313 2.6523 0.0000
Tl 0.0000 0.0000 0.0000
Tl 0.0000 3.5364 4.9053
Tl 3.0626 1.7682 2.6288
Cd 0.0000 0.0000 3.7670
CELL_PARAMETERS angstrom
6.1251 0.0000 0.0000
-3.0626 5.3045 0.0000
0.0000 0.0000 7.5340

=====

DFT total energy list, top to bottom, in eV per atom: -7.206 -7.205 -6.425 -7.136 -6.765 -7.615 -8.597 -6.851 -7.867 -7.221 -7.888 -6.923 -6.603 -8.374 -8.184 -7.919 -7.104